A plane-wave DFT calculation with PBE was carried out for a relaxed structure of YCoPt.

a b c (Å): 6.173 6.173 6.173
angles (deg): 90.00 90.00 90.00
Space group F-43m (No. 216)
Asymmetric unit:
Y 0.000 0.000 0.000 (multiplicity 4)
Co 0.250 0.250 0.250 (multiplicity 4)
Pt 0.000 0.000 0.500 (multiplicity 4)

Values from the calculation:
Energy of formation from the pure elements   -0.309 eV per atom
Total magnetic moment   5.11 μB per cell
Total DFT energy (no corrections)   -6.846 eV per atom